Record 1
Density functional theory data (PBE-GGA) for crystalline ZnAgTe2 at its relaxed geometry.

The space group is Cmm2 (No. 35) and the conventional cell measures 3.9522, 4.8832 and 10.3419 Å, with angles of 90.00, 90.00 and 90.00 degrees. The inequivalent atoms are Zn at (0.0000, 0.0000, 0.0000), Ag at (0.0000, 0.5000, 0.8230), Te at (0.0000, 0.0000, 0.5805) and Te at (0.0000, 0.5000, 0.2220).

Record 2
Density functional theory data (PBE-GGA) for crystalline ZnAg2Te2 at its relaxed geometry.

The space group is P4/mbm (No. 127) and the conventional cell measures 7.6342, 7.6342 and 4.0101 Å, with angles of 90.00, 90.00 and 90.00 degrees. The inequivalent atoms are Zn at (0.0000, 0.0000, 0.0000), Ag at (0.1316, 0.3684, 0.0000) and Te at (0.1761, 0.6761, 0.5000).

Record 3
Density functional theory data (PBE-GGA) for crystalline ZnAgTe2 at its relaxed geometry.

The space group is P4/mmm (No. 123) and the conventional cell measures 5.6529, 5.6529 and 3.0336 Å, with angles of 90.00, 90.00 and 90.00 degrees. The inequivalent atoms are Zn at (0.0000, 0.0000, 0.0000), Ag at (0.5000, 0.5000, 0.0000) and Te at (0.0000, 0.5000, 0.5000).

Record 4
Density functional theory data (PBE-GGA) for crystalline ZnAgTe2 at its relaxed geometry.

The space group is Cmmm (No. 65) and the conventional cell measures 3.9583, 6.6667 and 8.0293 Å, with angles of 90.00, 90.00 and 90.00 degrees. The inequivalent atoms are Zn at (0.0000, 0.0000, 0.0000), Ag at (0.0000, 0.0000, 0.5000) and Te at (0.0000, 0.5000, 0.2410).

Table of uncorrected energy (eV/f.u.), in record order: -9.8; -12.3; -9.6; -9.9
Table of energy relative to the elements, uncorrected (meV/atom), in record order: 144; 196; 213; 130